The following is a GGA+U calculation of a geometry-optimized Pr2NiSbO6 structure, from the Alexandria database.

Total magnetic moment in μB per formula unit: 1.26
Crystal system: monoclinic
Density of states at the Fermi level in states/eV/f.u.: 2.44
DFT total energy in eV/atom: -6.8474
SG: P2_1/c (14)

```
data_Pr2NiSbO6
_cell_length_a 5.6280
_cell_length_b 5.9158
_cell_length_c 8.1034
_cell_angle_alpha 90.00
_cell_angle_beta 89.21
_cell_angle_gamma 90.00
_space_group_name_H-M_alt 'P 1'
_space_group_IT_number 1
loop_
_space_group_symop_operation_xyz
'x,y,z'
loop_
_atom_site_label
_atom_site_fract_x
_atom_site_fract_y
_atom_site_fract_z
Pr1 0.4809 0.4376 0.2491
Sb1 0.5000 0.0000 0.5000
O1 0.8034 0.8000 0.5559
O2 0.6983 0.2994 0.5578
O3 0.3034 0.7000 0.0559
Ni1 0.0000 0.5000 0.5000
Pr2 0.5191 0.5624 0.7509
O4 0.1098 0.4600 0.7478
O5 0.1966 0.2000 0.4441
O6 0.3017 0.7006 0.4422
O7 0.3902 0.9600 0.7522
Ni2 0.5000 0.0000 0.0000
O8 0.8017 0.7994 0.9422
O9 0.1983 0.2006 0.0578
Pr3 0.9809 0.0624 0.7491
O10 0.6966 0.3000 0.9441
Sb2 0.0000 0.5000 0.0000
Pr4 0.0191 0.9376 0.2509
O11 0.8902 0.5400 0.2522
O12 0.6098 0.0400 0.2478
```